1.
Entry from the Alexandria database: an optimized crystal structure of LiMg5Zn3 (GGA-PBE).

Structure (POSCAR):
```
LiMg5Zn3
1.0
4.757 -4.142 0.000
4.757 4.142 0.000
-1.168 0.000 9.976
Li Mg Zn
2 10 6
direct
0.019 0.019 0.251 Li
0.981 0.981 0.749 Li
0.001 0.601 0.351 Mg
0.267 0.267 0.146 Mg
0.318 0.682 0.000 Mg
0.399 0.999 0.649 Mg
0.472 0.472 0.655 Mg
0.528 0.528 0.345 Mg
0.601 0.001 0.351 Mg
0.682 0.318 0.000 Mg
0.733 0.733 0.854 Mg
0.999 0.399 0.649 Mg
0.000 0.000 0.000 Zn
0.000 0.000 0.500 Zn
0.252 0.252 0.876 Zn
0.254 0.254 0.432 Zn
0.746 0.746 0.568 Zn
0.748 0.748 0.124 Zn
```

Properties
E above lowest polymorph (meV/atom): 164.4
D(E_F) (states/eV per atom): 0.3983
Calculated volume (Å³ per cell): 393.1
Calculated density (Mg/m³): 2.74
Energy relative to the elements (eV per atom): 0.085
Total magnetic moment (μB per formula unit): 0.0
Space group: No. 12

2.
Entry from the Alexandria database: an optimized crystal structure of Ac2CeSb (GGA-PBE).

Structure (POSCAR):
```
Ac2CeSb
1.0
4.330 0.000 0.000
0.000 4.330 0.000
0.000 0.000 7.704
Ac Ce Sb
2 1 1
direct
0.000 0.000 0.225 Ac
0.000 0.000 0.775 Ac
0.500 0.500 0.500 Ce
0.500 0.500 0.000 Sb
```

Properties
E above lowest polymorph (meV/atom): 45.2
D(E_F) (states/eV per atom): 2.3955
Calculated volume (Å³ per cell): 144.5
Calculated density (Mg/m³): 8.23
Total magnetic moment (μB per formula unit): 1.5
Space group: No. 123

3.
Entry from the Alexandria database: an optimized crystal structure of Zn2InGa (GGA-PBE).

Structure (POSCAR):
```
Zn2InGa
1.0
0.000 3.402 3.402
3.402 0.000 3.402
3.402 3.402 0.000
Zn In Ga
2 1 1
direct
0.250 0.250 0.250 Zn
0.750 0.750 0.750 Zn
0.000 0.000 0.000 In
0.500 0.500 0.500 Ga
```

Properties
E above lowest polymorph (meV/atom): 60.4
D(E_F) (states/eV per atom): 0.3473
Calculated volume (Å³ per cell): 78.8
Calculated density (Mg/m³): 6.65
Energy relative to the elements (eV per atom): 0.127
Total magnetic moment (μB per formula unit): 0.0
Space group: No. 225

4.
Entry from the Alexandria database: an optimized crystal structure of Pr2TlIrO6 (GGA-PBE).

Structure (POSCAR):
```
Pr2TlIrO6
1.0
5.651 0.000 0.000
0.000 6.152 0.000
-5.453 0.000 8.163
Pr Tl Ir O
4 2 2 12
direct
0.223 0.077 0.251 Pr
0.223 0.423 0.751 Pr
0.777 0.577 0.249 Pr
0.777 0.923 0.749 Pr
0.500 0.000 0.000 Tl
0.500 0.500 0.500 Tl
0.000 0.000 0.500 Ir
0.000 0.500 0.000 Ir
0.088 0.211 0.927 O
0.088 0.289 0.427 O
0.247 0.676 0.943 O
0.247 0.824 0.443 O
0.364 0.057 0.729 O
0.364 0.443 0.229 O
0.636 0.557 0.771 O
0.636 0.943 0.271 O
0.753 0.176 0.557 O
0.753 0.324 0.057 O
0.912 0.711 0.573 O
0.912 0.789 0.073 O
```

Properties
D(E_F) (states/eV per atom): 0.1744
Calculated volume (Å³ per cell): 283.7
Calculated density (Mg/m³): 9.06
Total magnetic moment (μB per formula unit): 0.0
Calculated total energy (eV per cell): -139.9
Space group: No. 14

5.
Entry from the Alexandria database: an optimized crystal structure of Mg2PbW (GGA-PBE).

Structure (POSCAR):
```
Mg2PbW
1.0
5.264 0.000 0.000
0.000 5.264 0.000
0.000 0.000 2.979
Mg Pb W
2 1 1
direct
0.000 0.500 0.000 Mg
0.500 0.000 0.000 Mg
0.000 0.000 0.500 Pb
0.500 0.500 0.500 W
```

Properties
D(E_F) (states/eV per atom): 0.4718
Calculated volume (Å³ per cell): 82.6
Calculated density (Mg/m³): 8.84
Energy relative to the elements (eV per atom): 0.624
Total magnetic moment (μB per formula unit): 0.0
Space group: No. 123

6.
Entry from the Alexandria database: an optimized crystal structure of RbVRu2S (GGA-PBE).

Structure (POSCAR):
```
RbVRu2S
1.0
4.526 0.000 0.000
0.000 4.526 0.000
0.000 0.000 4.704
Rb V Ru S
1 1 2 1
direct
0.000 0.000 0.000 Rb
0.500 0.500 0.000 V
0.000 0.500 0.500 Ru
0.500 0.000 0.500 Ru
0.500 0.500 0.500 S
```

Properties
D(E_F) (states/eV per atom): 1.0588
Calculated volume (Å³ per cell): 96.4
Calculated density (Mg/m³): 6.39
Total magnetic moment (μB per formula unit): 2.2
Calculated total energy (eV per cell): -29.0
Space group: No. 123

7.
Entry from the Alexandria database: an optimized crystal structure of TlPd2F (GGA-PBE).

Structure (POSCAR):
```
TlPd2F
1.0
-1.908 1.908 9.796
1.908 -1.908 9.796
1.908 1.908 -9.796
Tl Pd F
2 4 2
direct
0.000 0.000 0.000 Tl
0.750 0.250 0.500 Tl
0.129 0.625 0.004 Pd
0.375 0.379 0.504 Pd
0.621 0.125 0.996 Pd
0.875 0.871 0.496 Pd
0.250 0.750 0.500 F
0.500 0.500 0.000 F
```

Properties
E above lowest polymorph (meV/atom): 0.0
D(E_F) (states/eV per atom): 0.6487
Calculated volume (Å³ per cell): 142.7
Calculated density (Mg/m³): 10.15
Total magnetic moment (μB per formula unit): 0.0
Space group: No. 122

8.
Entry from the Alexandria database: an optimized crystal structure of V3Te4Se2 (GGA-PBE).

Structure (POSCAR):
```
V3Te4Se2
1.0
3.513 0.000 0.000
-1.756 3.042 0.000
0.000 0.000 22.478
V Te Se
3 4 2
direct
0.000 0.000 0.000 V
0.000 0.000 0.347 V
0.667 0.333 0.682 V
0.000 0.000 0.603 Te
0.000 0.000 0.762 Te
0.667 0.333 0.268 Te
0.667 0.333 0.427 Te
0.667 0.333 0.069 Se
0.667 0.333 0.931 Se
```

Properties
D(E_F) (states/eV per atom): 0.5526
Calculated volume (Å³ per cell): 240.2
Calculated density (Mg/m³): 5.68
Total magnetic moment (μB per formula unit): 3.0
Calculated total energy (eV per cell): -50.6
Space group: No. 156